(1)
SmGd2N, relaxed, DFT PBE-GGA; total moment = 15.22 μB/cell; Fermi-level density of states = 4.66 states/eV/cell; density = 7.76 Mg/m³; formation energy without anion corrections = -2.610 eV/f.u.
1.0
3.505 0.000 0.000
1.752 3.035 0.000
1.752 1.012 9.634
Gd N Sm
2 1 1
Direct
0.120 0.120 0.640
0.880 0.880 0.360
0.500 0.500 0.500
0.000 0.000 0.000

(2)
SmGdN, relaxed, DFT PBE-GGA; total moment = 8.02 μB/cell; energy above the most stable polymorph in this dataset = 0 meV/atom; Fermi-level density of states = 2.03 states/eV/cell; density = 7.88 Mg/m³; formation energy without anion corrections = -2.891 eV/f.u.
1.0
6.141 0.000 0.000
0.000 3.569 0.000
0.000 -1.785 3.091
Gd Sm N
1 1 1
Direct
0.552 0.667 0.333
0.108 0.000 0.000
0.340 0.333 0.667